Here is a relaxed CaOsIO2 crystal from Alexandria. Energies are from GGA-PBE.

N(E_F)   4.60 states/eV/cell
Offset from the most stable computed form   1.092 eV per atom
Uncorrected formation energy   481 meV per atom
DFT total energy   -4.46 eV per atom

a b c (Å): 4.2302 4.2302 6.2741
angles (deg): 90.00 90.00 90.00
Last column: magnetic moment on the atom in μB.
Fractional coordinates of all 5 atoms:
I1 0.0000 0.0000 0.5000  0.03
O1 0.5000 0.0000 0.0000  0.73
O2 0.0000 0.5000 0.0000  0.73
Ca1 0.0000 0.0000 0.0000  0.00
Os1 0.5000 0.5000 0.5000  2.47